# 1
The following is a PBE calculation of ScCd2Re after structural relaxation, from the Alexandria database.

Summary:
**Calculated formation energy**: 271 meV/atom
**E**: -4.88 eV per atom

Cell and atoms, written as extended XYZ:
```
4
Lattice="2.8380 -4.5300 0.0000 2.8380 4.5300 0.0000 0.0000 0.0000 2.9068" Properties=species:S:1:pos:R:3 pbc="T T T"
Sc 0.0000 0.0000 0.0000
Cd 1.4190 2.2650 1.4534
Cd 1.4190 -2.2650 1.4534
Re 2.8380 0.0000 0.0000
```

# 2
The following is a PBE calculation of ScCdRe3 after structural relaxation, from the Alexandria database.

Summary:
**Calculated formation energy**: 2604 meV/atom
**E**: -6.31 eV per atom

Cell and atoms, written as extended XYZ:
```
5
Lattice="4.8100 0.0000 0.0000 0.0000 4.8100 0.0000 0.0000 0.0000 4.8100" Properties=species:S:1:pos:R:3 pbc="T T T"
Sc 0.0000 0.0000 0.0000
Cd 2.4050 2.4050 2.4050
Re 0.0000 2.4050 2.4050
Re 2.4050 0.0000 2.4050
Re 2.4050 2.4050 0.0000
```

# 3
The following is a PBE calculation of ScCd2Re after structural relaxation, from the Alexandria database.

Summary:
**Calculated formation energy**: 226 meV/atom
**E**: -4.93 eV per atom

Cell and atoms, written as extended XYZ:
```
4
Lattice="3.4100 0.0000 0.0000 0.0000 3.4100 0.0000 0.0000 0.0000 6.7248" Properties=species:S:1:pos:R:3 pbc="T T T"
Sc 0.0000 0.0000 0.0000
Cd 0.0000 0.0000 3.7210
Cd 1.7050 1.7050 1.9345
Re 1.7050 1.7050 5.4138
```

# 4
The following is a PBE calculation of Sc2CdRe after structural relaxation, from the Alexandria database.

Summary:
**Calculated formation energy**: 442 meV/atom
**E**: -6.06 eV per atom

Cell and atoms, written as extended XYZ:
```
4
Lattice="1.4842 0.8569 10.5451 -1.4842 0.8569 10.5451 0.0000 -1.7139 10.5451" Properties=species:S:1:pos:R:3 pbc="T T T"
Sc 0.0000 0.0000 2.6144
Sc 0.0000 0.0000 29.0208
Cd 0.0000 0.0000 15.8176
Re 0.0000 0.0000 0.0000
```

# 5
The following is a PBE calculation of Sc2CdRe after structural relaxation, from the Alexandria database.

Summary:
**Calculated formation energy**: 244 meV/atom
**E**: -6.26 eV per atom

Cell and atoms, written as extended XYZ:
```
4
Lattice="1.7155 -2.3517 0.0000 1.7155 2.3517 0.0000 0.0000 0.0000 9.8306" Properties=species:S:1:pos:R:3 pbc="T T T"
Sc 0.0000 0.0000 0.0000
Sc 1.7155 0.0000 2.8192
Cd 0.0000 0.0000 5.3710
Re 1.7155 0.0000 7.7111
```

# 6
The following is a PBE calculation of Sc2CdRe after structural relaxation, from the Alexandria database.

Summary:
**Calculated formation energy**: 180 meV/atom
**E**: -6.33 eV per atom

Cell and atoms, written as extended XYZ:
```
4
Lattice="1.5782 0.9112 10.3370 -1.5782 0.9112 10.3370 0.0000 -1.8224 10.3370" Properties=species:S:1:pos:R:3 pbc="T T T"
Sc 0.0000 0.0000 3.1836
Sc 0.0000 0.0000 27.8274
Cd 0.0000 0.0000 0.0000
Re 0.0000 0.0000 15.5055
```